No. 1
Here is crystalline Ni4RhW at its relaxed geometry from Alexandria. Energies are from PBE.

It has space group P2_1/m (No. 11), with a = 4.4842 Å, b = 5.2303 Å, c = 6.4590 Å, α = 90.00°, β = 103.05° and γ = 90.00°. The asymmetric unit holds Ni at (0.0000, 0.0000, 0.0000), Ni at (0.2253, 0.0029, 0.6767), Ni at (0.4889, 0.7500, 0.0052), Rh at (0.2698, 0.2500, 0.3370) and W at (0.2747, 0.7500, 0.3380).

Its formation enthalpy at 0 K is -0.0533 eV per atom. The magnetization is 0.000 μB/atom. The calculation puts the energy above the lowest structure with this stoichiometry at 26 meV per atom. For the final energy, the calculation gives -7.292 eV per atom.

---

No. 2
Here is crystalline NiRhW at its relaxed geometry from Alexandria. Energies are from PBE.

It has space group F-43m (No. 216), with a = 5.7029 Å, b = 5.7029 Å, c = 5.7029 Å, α = 90.00°, β = 90.00° and γ = 90.00°. The asymmetric unit holds Ni at (0.0000, 0.0000, 0.0000), Rh at (0.2500, 0.2500, 0.2500) and W at (0.2500, 0.2500, 0.7500).

Its formation enthalpy at 0 K is 0.5360 eV per atom. The magnetization is 0.001 μB/atom. The calculation puts the energy above the lowest structure with this stoichiometry at 698 meV per atom. For the final energy, the calculation gives -8.159 eV per atom.

---

No. 3
Here is crystalline NiRh3W at its relaxed geometry from Alexandria. Energies are from PBE.

It has space group Cmcm (No. 63), with a = 4.3757 Å, b = 12.0717 Å, c = 5.4694 Å, α = 90.00°, β = 90.00° and γ = 90.00°. The asymmetric unit holds Ni at (0.0000, 0.1879, 0.2500), Rh at (0.0000, 0.1900, 0.7500), Rh at (0.0000, 0.3850, 0.5055) and W at (0.0000, 0.0000, 0.0000).

Its formation enthalpy at 0 K is 0.0971 eV per atom. The magnetization is 0.000 μB/atom. The calculation puts the energy above the lowest structure with this stoichiometry at 0 meV per atom. For the final energy, the calculation gives -8.061 eV per atom.

---

No. 4
Here is crystalline Ni14RhW at its relaxed geometry from Alexandria. Energies are from PBE.

It has space group Amm2 (No. 38), with a = 8.2367 Å, b = 5.0895 Å, c = 8.7692 Å, α = 90.00°, β = 90.00° and γ = 90.00°. The asymmetric unit holds Ni at (0.0000, 0.0000, 0.0000), Ni at (0.0000, 0.0000, 0.4994), Ni at (0.0000, 0.2496, 0.2494), Ni at (0.2449, 0.0000, 0.6662), Ni at (0.2451, 0.2482, 0.4183), Ni at (0.2489, 0.0000, 0.1675), Ni at (0.5000, 0.2500, 0.0835), Rh at (0.5000, 0.0000, 0.8336) and W at (0.5000, 0.0000, 0.3345).

Its formation enthalpy at 0 K is 0.0167 eV per atom. The magnetization is 0.430 μB/atom. For the final energy, the calculation gives -6.311 eV per atom.